1.
This record from Alexandria via LeMat-Bulk describes a relaxed YPtIO2 crystal. The functional is PBE.

Cell lengths 4.1624, 4.1624, 6.9841 Å; angles 90.00, 90.00, 90.00 degrees
Fractional coordinates of all 5 atoms:
Y 0.0000 0.0000 0.0000
Pt 0.5000 0.5000 0.5000
I 0.0000 0.0000 0.5000
O 0.0000 0.5000 0.0000
O 0.5000 0.0000 0.0000

Computed properties:
total DFT energy (no corrections): -5.59 eV/atom
total magnetization: 0.04 μB per formula unit
N(E_F): 7.40 states/eV/f.u.
energy relative to the lowest polymorph listed for this composition: 0.000 eV per atom

---

2.
This record from Alexandria via LeMat-Bulk describes a relaxed YPtIO2 crystal. The functional is PBE.

Cell lengths 4.2943, 4.2943, 5.1004 Å; angles 90.00, 90.00, 90.00 degrees
Fractional coordinates of all 5 atoms:
Y 0.0000 0.0000 0.0000
Pt 0.5000 0.5000 0.5000
I 0.5000 0.5000 0.0000
O 0.0000 0.5000 0.5000
O 0.5000 0.0000 0.5000

Computed properties:
total DFT energy (no corrections): -5.16 eV/atom
total magnetization: 0.00 μB per formula unit
N(E_F): 1.20 states/eV/f.u.
energy relative to the lowest polymorph listed for this composition: 0.430 eV per atom

---

3.
This record from Alexandria via LeMat-Bulk describes a relaxed YPtI2O crystal. The functional is PBE.

Cell lengths 5.7264, 5.7264, 3.8879 Å; angles 90.00, 90.00, 90.00 degrees
Fractional coordinates of all 5 atoms:
Y 0.0000 0.0000 0.0000
Pt 0.5000 0.5000 0.5000
I 0.0000 0.5000 0.5000
I 0.5000 0.0000 0.5000
O 0.5000 0.5000 0.0000

Computed properties:
total DFT energy (no corrections): -4.41 eV/atom
total magnetization: 0.00 μB per formula unit
N(E_F): 5.65 states/eV/f.u.
energy relative to the lowest polymorph listed for this composition: 0.208 eV per atom

---

Number 1: formation energy without anion corrections -0.793 eV/atom. Number 2: formation energy without anion corrections -0.362 eV/atom. Number 3: formation energy without anion corrections -0.296 eV/atom.